Entry 1:
Computed, not measured: crystalline CsGaSb3 at its relaxed geometry at the PBEsol level of DFT.

The uncorrected energy comes out at -3.412 eV/atom. The uncorrected formation energy comes out at 0.89 eV/f.u.

The space group is Pm-3m (No. 221) and the conventional cell measures 5.453, 5.453 and 5.453 Å, with angles of 90.00, 90.00 and 90.00 degrees. Symmetry generates all atoms from Cs at (0.000, 0.000, 0.000), Ga at (0.500, 0.500, 0.500) and Sb at (0.000, 0.500, 0.500).

---

Entry 2:
Computed, not measured: crystalline BaCaPt2 at its relaxed geometry at the PBEsol level of DFT.

The uncorrected energy comes out at -5.213 eV/atom. The formation energy comes out at -0.660 eV/atom.

The space group is Amm2 (No. 38) and the conventional cell measures 4.453, 4.147 and 11.138 Å, with angles of 90.00, 90.00 and 90.00 degrees. Symmetry generates all atoms from Ba at (0.000, 0.000, 0.000), Ca at (0.500, 0.000, 0.718), Pt at (0.000, 0.000, 0.277) and Pt at (0.500, 0.000, 0.413).

---

Entry 3:
Computed, not measured: crystalline AgAuN2F at its relaxed geometry at the PBEsol level of DFT.

The uncorrected energy comes out at -4.017 eV/atom. The uncorrected formation energy comes out at 6.13 eV/f.u.

The space group is P4/mmm (No. 123) and the conventional cell measures 3.756, 3.756 and 5.268 Å, with angles of 90.00, 90.00 and 90.00 degrees. Symmetry generates all atoms from Ag at (0.000, 0.000, 0.000), Au at (0.500, 0.500, 0.500), N at (0.000, 0.500, 0.500) and F at (0.500, 0.500, 0.000).

---

| no. | size of the total moment (μB per formula unit) |
| --- | --- |
| 1 | 0.00 |
| 2 | 0.00 |
| 3 | 0.02 |